## K2Cd2B (SCAN)

Data for a crystal of K2Cd2B relaxed with PBEsol.

Geometry as POSCAR:
```
K2Cd2B
1.0
-1.955 1.955 10.071
1.955 -1.955 10.071
1.955 1.955 -10.071
K Cd B
2 2 1
Direct
0.087 0.087 0.000
0.913 0.913 0.000
0.250 0.750 0.500
0.750 0.250 0.500
0.500 0.500 0.000
```

Properties
V, A^3/atom: 30.81
E_form, eV per formula unit: 3.6
Symmetry: I4/mmm, No. 139

## ReAgAs (SCAN)

Data for a crystal of ReAgAs relaxed with PBEsol.

Geometry as POSCAR:
```
ReAgAs
1.0
0.000 2.339 7.145
1.524 0.000 7.145
1.524 2.339 0.000
Re Ag As
1 1 1
Direct
0.000 0.000 0.000
0.667 0.667 0.333
0.363 0.363 0.637
```

Properties
Relative energy among the computed polymorphs, meV per atom: 0
V, A^3/atom: 16.98
E_form, eV per formula unit: 1.7
Symmetry: Fmm2, No. 42

## NaBS2O8 (SCAN)

Data for a crystal of NaBS2O8 relaxed with PBEsol.

Geometry as POSCAR:
```
NaBS2O8
1.0
5.548 0.000 0.000
0.000 7.545 0.000
-2.488 0.000 7.377
Na B S O
2 2 4 16
Direct
0.000 0.067 0.250
0.000 0.933 0.750
0.500 0.454 0.750
0.500 0.546 0.250
0.370 0.274 0.006
0.370 0.726 0.506
0.630 0.274 0.494
0.630 0.726 0.994
0.165 0.153 0.993
0.165 0.847 0.493
0.322 0.442 0.104
0.322 0.558 0.604
0.327 0.341 0.812
0.327 0.659 0.312
0.374 0.213 0.412
0.374 0.787 0.912
0.626 0.213 0.088
0.626 0.787 0.588
0.673 0.341 0.688
0.673 0.659 0.188
0.678 0.442 0.396
0.678 0.558 0.896
0.835 0.153 0.507
0.835 0.847 0.007
```

Properties
V, A^3/atom: 12.87
Uncorrected formation energy, meV per atom: -1856
Symmetry: P2/c, No. 13

## CaNi3 (SCAN)

Data for a crystal of CaNi3 relaxed with PBEsol.

Geometry as POSCAR:
```
CaNi3
1.0
2.685 0.000 0.000
0.000 4.098 0.000
0.000 0.000 5.028
Ca Ni
1 3
Direct
0.000 0.000 0.000
0.000 0.500 0.377
0.500 0.000 0.491
0.500 0.500 0.761
```

Properties
V, A^3/atom: 13.83
E_form, eV per formula unit: 1.2
Symmetry: Pmm2, No. 25

## PdAuF2 (SCAN)

Data for a crystal of PdAuF2 relaxed with PBEsol.

Geometry as POSCAR:
```
PdAuF2
1.0
1.387 0.801 7.996
-1.387 0.801 7.996
0.000 -1.601 7.996
Pd Au F
1 1 2
Direct
0.000 0.000 0.000
0.500 0.500 0.500
0.081 0.081 0.081
0.919 0.919 0.919
```

Properties
V, A^3/atom: 13.32
Uncorrected formation energy, meV per atom: -674
Symmetry: R-3m, No. 166

## Sc3Se (SCAN)

Data for a crystal of Sc3Se relaxed with PBEsol.

Geometry as POSCAR:
```
Sc3Se
1.0
3.468 0.000 0.000
-1.734 3.003 0.000
0.000 0.000 8.609
Sc Se
3 1
Direct
0.000 0.000 0.000
0.667 0.333 0.291
0.667 0.333 0.709
0.000 0.000 0.500
```

Properties
Relative energy among the computed polymorphs, meV per atom: 86
V, A^3/atom: 22.41
Uncorrected formation energy, meV per atom: -787
Symmetry: P-6m2, No. 187

## Ba3ZrGa (SCAN)

Data for a crystal of Ba3ZrGa relaxed with PBEsol.

Geometry as POSCAR:
```
Ba3ZrGa
1.0
6.207 0.000 0.000
0.000 6.207 0.000
0.000 0.000 6.207
Ba Zr Ga
3 1 1
Direct
0.000 0.000 0.500
0.000 0.500 0.000
0.500 0.000 0.000
0.500 0.500 0.500
0.000 0.000 0.000
```

Properties
V, A^3/atom: 47.84
E_form, eV per formula unit: 2.9
Symmetry: Pm-3m, No. 221

## KLi2Al (SCAN)

Data for a crystal of KLi2Al relaxed with PBEsol.

Geometry as POSCAR:
```
KLi2Al
1.0
-2.265 2.265 5.038
2.265 -2.265 5.038
2.265 2.265 -5.038
K Li Al
1 2 1
Direct
0.000 0.000 0.000
0.500 0.500 0.000
0.750 0.250 0.500
0.250 0.750 0.500
```

Properties
V, A^3/atom: 25.85
E_form, eV per formula unit: 1.2
Symmetry: I-4m2, No. 119